<A>
First-principles (PBEsol) data for crystalline BaIn2Br at its relaxed geometry, as listed in the Alexandria database.

It has space group Fm-3m (No. 225), with a = 7.992 Å, b = 7.992 Å, c = 7.992 Å, α = 90.00°, β = 90.00° and γ = 90.00°. The asymmetric unit holds Ba at (0.000, 0.000, 0.000), In at (0.250, 0.250, 0.250) and Br at (0.000, 0.000, 0.500).



<B>
First-principles (PBEsol) data for crystalline BaIn2Br at its relaxed geometry, as listed in the Alexandria database.

It has space group I4/mmm (No. 139), with a = 4.458 Å, b = 4.458 Å, c = 12.654 Å, α = 90.00°, β = 90.00° and γ = 90.00°. The asymmetric unit holds Ba at (0.000, 0.000, 0.000), In at (0.000, 0.500, 0.250) and Br at (0.000, 0.000, 0.500).



Most stable one: <B>, least stable one: <A>.



<A>
First-principles (PBEsol) data for crystalline Zr2MoBr at its relaxed geometry, as listed in the Alexandria database.

It has space group C2/m (No. 12), with a = 7.577 Å, b = 3.269 Å, c = 8.443 Å, α = 90.00°, β = 116.50° and γ = 90.00°. The asymmetric unit holds Zr at (0.188, 0.000, 0.312), Mo at (0.000, 0.000, 0.500) and Br at (0.000, 0.500, 0.000).



<B>
First-principles (PBEsol) data for crystalline Zr2MoBr at its relaxed geometry, as listed in the Alexandria database.

It has space group Immm (No. 71), with a = 3.527 Å, b = 5.251 Å, c = 8.374 Å, α = 90.00°, β = 90.00° and γ = 90.00°. The asymmetric unit holds Zr at (0.000, 0.000, 0.248), Mo at (0.000, 0.500, 0.500) and Br at (0.000, 0.500, 0.000).



Most stable one: <A>, least stable one: <B>.



<A>
First-principles (PBEsol) data for crystalline CoTcRh2 at its relaxed geometry, as listed in the Alexandria database.

It has space group Cmmm (No. 65), with a = 5.247 Å, b = 7.410 Å, c = 2.634 Å, α = 90.00°, β = 90.00° and γ = 90.00°. The asymmetric unit holds Co at (0.000, 0.000, 0.000), Tc at (0.000, 0.500, 0.000) and Rh at (0.250, 0.250, 0.500).



<B>
First-principles (PBEsol) data for crystalline CoTcRh2 at its relaxed geometry, as listed in the Alexandria database.

It has space group F-43m (No. 216), with a = 5.936 Å, b = 5.936 Å, c = 5.936 Å, α = 90.00°, β = 90.00° and γ = 90.00°. The asymmetric unit holds Co at (0.000, 0.000, 0.000), Tc at (0.250, 0.250, 0.250), Rh at (0.000, 0.000, 0.500) and Rh at (0.250, 0.250, 0.750).



Most stable one: <A>, least stable one: <B>.



<A>
First-principles (PBEsol) data for crystalline MnZn2Cr at its relaxed geometry, as listed in the Alexandria database.

It has space group R3m (No. 160, hexagonal axes), with a = 2.5986 Å, b = 2.5986 Å, c = 25.1777 Å, α = 90.00°, β = 90.00° and γ = 120.00°. The asymmetric unit holds Mn at (0.0000, 0.0000, 0.0000), Zn at (0.0000, 0.0000, 0.2484), Zn at (0.0000, 0.0000, 0.4894) and Cr at (0.0000, 0.0000, 0.7355).



<B>
First-principles (PBEsol) data for crystalline MnZn2Cr at its relaxed geometry, as listed in the Alexandria database.

It has space group Cmm2 (No. 35), with a = 2.833 Å, b = 4.104 Å, c = 8.382 Å, α = 90.00°, β = 90.00° and γ = 90.00°. The asymmetric unit holds Mn at (0.000, 0.000, 0.000), Zn at (0.000, 0.000, 0.526), Zn at (0.000, 0.500, 0.251) and Cr at (0.000, 0.500, 0.782).



Most stable one: <B>, least stable one: <A>.